Version A
First-principles (PBE with a Hubbard U) data for a relaxed Fe2Co2O crystal, as listed in Alexandria via LeMat-Bulk.

## Properties
Calculated density = 6.04 g/cm³

a b c (Å): 3.0743 3.0743 7.4610
angles (deg): 78.11 78.11 90.00
Last column: magnetic moment on the atom in μB.
Fractional positions:
Co  0.2500  0.7500  0.5000  1.89
O  0.0000  0.0000  0.0000  0.10
Fe  0.4054  0.4054  0.1893  3.67
Fe  0.5946  0.5946  0.8107  3.67
Co  0.7500  0.2500  0.5000  1.89

=====

Version B
First-principles (PBE with a Hubbard U) data for a relaxed Fe2Co2O crystal, as listed in Alexandria via LeMat-Bulk.

## Properties
Calculated density = 6.35 g/cm³

a b c (Å): 5.5231 5.5231 4.2099
angles (deg): 90.00 90.00 90.00
Last column: magnetic moment on the atom in μB.
Fractional positions:
Fe  0.1714  0.3286  0.0000  3.43
Co  0.3566  0.1434  0.5000  1.92
Co  0.6434  0.8566  0.5000  1.92
O  0.0000  0.0000  0.0000  0.02
Co  0.1434  0.6434  0.5000  1.93
Fe  0.8286  0.6714  0.0000  3.43
Fe  0.6714  0.1714  0.0000  3.43
O  0.5000  0.5000  0.0000  0.02
Co  0.8566  0.3566  0.5000  1.93
Fe  0.3286  0.8286  0.0000  3.43

=====

Of them, version A has the lowest stability.